ZrTe2AuN: optimized geometry, GGA-PBE.

Properties
- Total magnetic moment: 0.000 μB/f.u.
- Energy: -5.03 eV/atom
- Symmetry: P4/mmm
- Formation energy (no corrections): 257 meV/atom
- E above lowest polymorph: 0.00 eV/f.u.

POSCAR file:
```
ZrTe2AuN
1.0
5.756 0.000 0.000
0.000 5.756 0.000
0.000 0.000 3.977
Te Au Zr N
2 1 1 1
Direct
0.000 0.500 0.000
0.500 0.000 0.000
0.500 0.500 0.500
0.000 0.000 0.000
0.000 0.000 0.500
```

ZrTeAuN2: optimized geometry, GGA-PBE.

Properties
- Total magnetic moment: 0.000 μB/f.u.
- Energy: -4.86 eV/atom
- Symmetry: P4/mmm
- Formation energy (no corrections): 1463 meV/atom
- E above lowest polymorph: 5.00 eV/f.u.

POSCAR file:
```
ZrTeAuN2
1.0
4.196 0.000 0.000
0.000 4.196 0.000
0.000 0.000 5.254
Te Au Zr N
1 1 1 2
Direct
0.000 0.000 0.500
0.000 0.000 0.000
0.500 0.500 0.500
0.000 0.500 0.000
0.500 0.000 0.000
```

ZrTeAuN2: optimized geometry, GGA-PBE.

Properties
- Total magnetic moment: 0.030 μB/f.u.
- Energy: -5.77 eV/atom
- Symmetry: P4/mmm
- Formation energy (no corrections): 550 meV/atom
- E above lowest polymorph: 0.43 eV/f.u.

POSCAR file:
```
ZrTeAuN2
1.0
-3.315 -0.989 -2.235
-2.074 -3.395 4.578
-1.997 3.266 1.518
Te Au Zr N
1 1 1 2
Direct
0.500 0.500 0.500
0.000 0.500 0.000
0.000 0.000 0.000
0.000 0.000 0.500
0.500 0.000 0.000
```

ThAuN: optimized geometry, GGA-PBE.

Properties
- Total magnetic moment: 0.000 μB/f.u.
- Energy: -7.32 eV/atom
- Symmetry: I4/mmm
- Formation energy (no corrections): -979 meV/atom
- E above lowest polymorph: 0.89 eV/f.u.

POSCAR file:
```
ThAuN
1.0
3.428 0.000 0.000
0.000 3.428 0.000
-1.714 -1.714 10.457
Th Au N
2 2 2
Direct
0.179 0.179 0.358
0.821 0.821 0.642
0.567 0.567 0.133
0.433 0.433 0.867
0.293 0.293 0.585
0.707 0.707 0.415
```

Th4AuN: optimized geometry, GGA-PBE.

Properties
- Total magnetic moment: 0.000 μB/f.u.
- Energy: -7.43 eV/atom
- Symmetry: C2/c
- Formation energy (no corrections): -551 meV/atom

POSCAR file:
```
Th4AuN
1.0
-0.353 -2.376 5.792
5.795 -3.266 -2.995
1.579 8.190 1.066
Th Au N
8 2 2
Direct
0.283 0.941 0.597
0.043 0.831 0.101
0.186 0.344 0.403
0.441 0.729 0.899
0.717 0.059 0.403
0.814 0.656 0.597
0.957 0.169 0.899
0.559 0.271 0.101
0.364 0.614 0.229
0.636 0.386 0.771
0.814 0.064 0.127
0.186 0.936 0.873
```

Th6Au3N: optimized geometry, GGA-PBE.

Properties
- Total magnetic moment: 0.000 μB/f.u.
- Energy: -6.74 eV/atom
- Symmetry: P2_1/m
- Formation energy (no corrections): -474 meV/atom

POSCAR file:
```
Th6Au3N
1.0
-0.816 0.782 3.494
-8.103 -8.220 -0.052
12.266 -4.767 3.931
Th Au N
12 6 2
Direct
0.750 0.493 0.643
0.250 0.507 0.357
0.750 0.875 0.138
0.250 0.125 0.862
0.750 0.410 0.106
0.250 0.590 0.894
0.750 0.748 0.331
0.250 0.252 0.669
0.750 0.065 0.403
0.250 0.935 0.597
0.750 0.818 0.776
0.250 0.182 0.224
0.750 0.359 0.863
0.250 0.641 0.137
0.750 0.687 0.533
0.250 0.313 0.467
0.750 0.108 0.035
0.250 0.892 0.965
0.750 0.000 0.741
0.250 0.000 0.259
```

ThAuN: optimized geometry, GGA-PBE.

Properties
- Total magnetic moment: 0.000 μB/f.u.
- Energy: -7.08 eV/atom
- Symmetry: I4mm
- Formation energy (no corrections): -738 meV/atom
- E above lowest polymorph: 1.62 eV/f.u.

POSCAR file:
```
ThAuN
1.0
-0.379 2.903 -1.735
0.143 -1.731 -2.927
-5.309 -1.226 2.445
Au Th N
1 1 1
Direct
0.014 0.014 0.028
0.726 0.726 0.452
0.260 0.260 0.520
```

Th4Au3N4: optimized geometry, GGA-PBE.

Properties
- Total magnetic moment: 0.000 μB/f.u.
- Energy: -8.00 eV/atom
- Symmetry: Amm2
- Formation energy (no corrections): -1382 meV/atom

POSCAR file:
```
Th4Au3N4
1.0
4.138 0.000 0.000
-2.069 6.731 0.000
0.000 0.000 8.294
Th Au N
4 3 4
Direct
0.679 0.358 0.756
0.679 0.358 0.244
0.016 0.032 0.500
0.007 0.013 0.000
0.359 0.718 0.330
0.359 0.718 0.670
0.319 0.639 0.000
0.604 0.207 0.500
0.590 0.179 0.000
0.094 0.187 0.753
0.094 0.187 0.247
```

ThAuN: optimized geometry, GGA-PBE.

Properties
- Total magnetic moment: 0.000 μB/f.u.
- Energy: -7.55 eV/atom
- Symmetry: R-3m
- Formation energy (no corrections): -1214 meV/atom
- E above lowest polymorph: 0.19 eV/f.u.

POSCAR file:
```
ThAuN
1.0
-3.838 -1.228 0.061
-1.738 -1.006 3.494
-4.583 7.827 2.297
Th N Au
2 2 2
Direct
0.279 0.279 0.162
0.721 0.721 0.838
0.367 0.367 0.900
0.633 0.633 0.100
0.864 0.864 0.407
0.136 0.136 0.593
```

ThAuN: optimized geometry, GGA-PBE.

Properties
- Total magnetic moment: 0.000 μB/f.u.
- Energy: -7.62 eV/atom
- Symmetry: P4/nmm
- Formation energy (no corrections): -1277 meV/atom
- E above lowest polymorph: 0.00 eV/f.u.

POSCAR file:
```
ThAuN
1.0
-3.306 1.159 2.081
-0.017 -3.571 1.963
4.345 2.890 5.293
Th Au N
2 2 2
Direct
0.250 0.750 0.343
0.750 0.250 0.657
0.250 0.750 0.913
0.750 0.250 0.087
0.750 0.750 0.500
0.250 0.250 0.500
```

Th4Au2N: optimized geometry, GGA-PBE.

Properties
- Total magnetic moment: 0.000 μB/f.u.
- Energy: -7.04 eV/atom
- Symmetry: I4/mmm
- Formation energy (no corrections): -678 meV/atom

POSCAR file:
```
Th4Au2N
1.0
4.949 0.000 0.000
0.000 4.949 0.000
2.474 2.474 7.486
Au Th N
2 4 1
Direct
0.634 0.634 0.732
0.366 0.366 0.268
0.827 0.827 0.346
0.173 0.173 0.654
0.000 0.500 0.000
0.500 0.000 0.000
0.000 0.000 0.000
```

Th6Au2N: optimized geometry, GGA-PBE.

Properties
- Total magnetic moment: 0.000 μB/f.u.
- Energy: -7.14 eV/atom
- Symmetry: P2_1/c
- Formation energy (no corrections): -542 meV/atom

POSCAR file:
```
Th6Au2N
1.0
-0.284 2.094 6.092
-6.697 -2.867 0.673
4.182 -9.110 2.801
Th Au N
12 4 2
Direct
0.854 0.968 0.263
0.858 0.697 0.552
0.847 0.680 0.955
0.653 0.180 0.545
0.642 0.197 0.948
0.646 0.468 0.237
0.146 0.032 0.737
0.142 0.303 0.448
0.153 0.320 0.045
0.347 0.820 0.455
0.358 0.803 0.052
0.354 0.532 0.763
0.901 0.393 0.749
0.599 0.893 0.751
0.401 0.107 0.249
0.099 0.607 0.251
0.500 0.500 0.000
0.000 0.000 0.500
```